# Co2PtCl, optimized geometry, DFT PBE
data_Co2PtCl
_chemical_formula_sum 'Co4 Pt2 Cl2'
_cell_length_a 2.8082
_cell_length_b 4.7499
_cell_length_c 9.3267
_cell_angle_alpha 90.00
_cell_angle_beta 90.00
_cell_angle_gamma 90.00
_symmetry_space_group_name_H-M 'C m m 2'
_symmetry_Int_Tables_number 35
loop_
_symmetry_equiv_pos_as_xyz
'x,y,z'
'-x,-y,z'
'-x,y,z'
'x,-y,z'
'x+1/2,y+1/2,z'
'-x+1/2,-y+1/2,z'
'-x+1/2,y+1/2,z'
'x+1/2,-y+1/2,z'
loop_
_atom_site_label
_atom_site_type_symbol
_atom_site_fract_x
_atom_site_fract_y
_atom_site_fract_z
Co1 Co 0.0000 0.0000 0.0000
Co2 Co 0.0000 0.5000 0.2001
Pt1 Pt 0.0000 0.0000 0.4336
Cl1 Cl 0.0000 0.5000 0.8016
# excess energy over the best structure of this formula in the dataset = 0.2090 eV per atom
# final energy = -41.4 eV/cell
# M_tot = 8.326 Bohr magnetons per cell

# CoPtCl, optimized geometry, DFT PBE
data_CoPtCl
_chemical_formula_sum 'Co4 Pt4 Cl4'
_cell_length_a 2.8590
_cell_length_b 5.0346
_cell_length_c 14.1916
_cell_angle_alpha 90.00
_cell_angle_beta 90.00
_cell_angle_gamma 90.00
_symmetry_space_group_name_H-M 'F m m 2'
_symmetry_Int_Tables_number 42
_symmetry_space_group_name_Hall 'F 2 -2'
loop_
_atom_site_label
_atom_site_type_symbol
_atom_site_fract_x
_atom_site_fract_y
_atom_site_fract_z
Co1 Co 0.0000 0.0000 0.0000
Pt1 Pt 0.0000 0.0000 0.6491
Cl1 Cl 0.0000 0.0000 0.3772
# excess energy over the best structure of this formula in the dataset = 0.1630 eV per atom
# final energy = -56.4 eV/cell
# M_tot = 10.463 Bohr magnetons per cell

# Co2PtCl, optimized geometry, DFT PBE
data_Co2PtCl
_chemical_formula_sum 'Co2 Pt1 Cl1'
_cell_length_a 2.7976
_cell_length_b 4.4543
_cell_length_c 4.5797
_cell_angle_alpha 90.00
_cell_angle_beta 90.00
_cell_angle_gamma 90.00
_symmetry_space_group_name_H-M 'P m m 2'
_symmetry_Int_Tables_number 25
loop_
_symmetry_equiv_pos_as_xyz
'x,y,z'
'-x,-y,z'
'-x,y,z'
'x,-y,z'
loop_
_atom_site_label
_atom_site_type_symbol
_atom_site_fract_x
_atom_site_fract_y
_atom_site_fract_z
Co1 Co 0.0000 0.0000 0.0000
Co2 Co 0.0000 0.5000 0.4163
Pt1 Pt 0.5000 0.5000 0.9291
Cl1 Cl 0.0000 0.0000 0.4988
# excess energy over the best structure of this formula in the dataset = 0.1396 eV per atom
# final energy = -21.0 eV/cell
# M_tot = 3.861 Bohr magnetons per cell

# CoPt2Cl, optimized geometry, DFT PBE
data_CoPt2Cl
_chemical_formula_sum 'Co1 Pt2 Cl1'
_cell_length_a 2.8243
_cell_length_b 2.8243
_cell_length_c 7.8128
_cell_angle_alpha 90.00
_cell_angle_beta 90.00
_cell_angle_gamma 90.00
_symmetry_space_group_name_H-M 'P 4/m m m'
_symmetry_Int_Tables_number 123
_symmetry_space_group_name_Hall '-P 4 2'
loop_
_atom_site_label
_atom_site_type_symbol
_atom_site_fract_x
_atom_site_fract_y
_atom_site_fract_z
Co1 Co 0.0000 0.0000 0.0000
Pt1 Pt 0.5000 0.5000 0.2181
Cl1 Cl 0.0000 0.0000 0.5000
# final energy = -19.8 eV/cell
# M_tot = 2.634 Bohr magnetons per cell

# Co2PtCl, optimized geometry, DFT PBE
data_Co2PtCl
_chemical_formula_sum 'Co8 Pt4 Cl4'
_cell_length_a 6.1168
_cell_length_b 6.1168
_cell_length_c 6.1168
_cell_angle_alpha 90.00
_cell_angle_beta 90.00
_cell_angle_gamma 90.00
_symmetry_space_group_name_H-M 'F -4 3 m'
_symmetry_Int_Tables_number 216
_symmetry_space_group_name_Hall 'F -4 2 3'
loop_
_atom_site_label
_atom_site_type_symbol
_atom_site_fract_x
_atom_site_fract_y
_atom_site_fract_z
Co1 Co 0.0000 0.0000 0.0000
Co2 Co 0.2500 0.2500 0.2500
Pt1 Pt 0.2500 0.2500 0.7500
Cl1 Cl 0.0000 0.0000 0.5000
# excess energy over the best structure of this formula in the dataset = 0.5694 eV per atom
# final energy = -77.1 eV/cell
# M_tot = 17.203 Bohr magnetons per cell

# Co2PtCl, optimized geometry, DFT PBE
data_Co2PtCl
_chemical_formula_sum 'Co2 Pt1 Cl1'
_cell_length_a 2.8427
_cell_length_b 2.8427
_cell_length_c 6.9569
_cell_angle_alpha 90.00
_cell_angle_beta 90.00
_cell_angle_gamma 90.00
_symmetry_space_group_name_H-M 'P 4/m m m'
_symmetry_Int_Tables_number 123
_symmetry_space_group_name_Hall '-P 4 2'
loop_
_atom_site_label
_atom_site_type_symbol
_atom_site_fract_x
_atom_site_fract_y
_atom_site_fract_z
Co1 Co 0.0000 0.0000 0.2485
Pt1 Pt 0.5000 0.5000 0.5000
Cl1 Cl 0.5000 0.5000 0.0000
# excess energy over the best structure of this formula in the dataset = 0.1409 eV per atom
# final energy = -21.0 eV/cell
# M_tot = 4.540 Bohr magnetons per cell

# CoPtCl, optimized geometry, DFT PBE
data_CoPtCl
_chemical_formula_sum 'Co1 Pt1 Cl1'
_cell_length_a 4.1681
_cell_length_b 4.1681
_cell_length_c 3.0178
_cell_angle_alpha 90.00
_cell_angle_beta 90.00
_cell_angle_gamma 120.00
_symmetry_space_group_name_H-M 'P 3 m 1'
_symmetry_Int_Tables_number 156
loop_
_symmetry_equiv_pos_as_xyz
'x,y,z'
'-y,x-y,z'
'-x+y,-x,z'
'-y,-x,z'
'-x+y,y,z'
'x,x-y,z'
loop_
_atom_site_label
_atom_site_type_symbol
_atom_site_fract_x
_atom_site_fract_y
_atom_site_fract_z
Co1 Co 0.0000 0.0000 0.0000
Pt1 Pt 0.6667 0.3333 0.4267
Cl1 Cl 0.3333 0.6667 0.8138
# excess energy over the best structure of this formula in the dataset = 0.4678 eV per atom
# final energy = -13.2 eV/cell
# M_tot = 2.403 Bohr magnetons per cell

# CoPt2Cl, optimized geometry, DFT PBE
data_CoPt2Cl
_chemical_formula_sum 'Co3 Pt6 Cl3'
_cell_length_a 2.7482
_cell_length_b 2.7482
_cell_length_c 30.5649
_cell_angle_alpha 90.00
_cell_angle_beta 90.00
_cell_angle_gamma 120.00
_symmetry_space_group_name_H-M 'R -3 m'
_symmetry_Int_Tables_number 166
_symmetry_space_group_name_Hall '-R 3 2"'
loop_
_atom_site_label
_atom_site_type_symbol
_atom_site_fract_x
_atom_site_fract_y
_atom_site_fract_z
Co1 Co 0.0000 0.0000 0.0000
Pt1 Pt 0.0000 0.0000 0.2657
Cl1 Cl 0.0000 0.0000 0.5000
# final energy = -60.4 eV/cell
# M_tot = 9.331 Bohr magnetons per cell

# RbCoPtCl6, optimized geometry, DFT PBE
data_RbCoPtCl6
_chemical_formula_sum 'Rb1 Co1 Pt1 Cl6'
_cell_length_a 6.3541
_cell_length_b 6.3575
_cell_length_c 7.3693
_cell_angle_alpha 91.40
_cell_angle_beta 91.73
_cell_angle_gamma 116.76
_symmetry_space_group_name_H-M 'P 1'
_symmetry_Int_Tables_number 1
loop_
_symmetry_equiv_pos_as_xyz
'x,y,z'
loop_
_atom_site_label
_atom_site_type_symbol
_atom_site_fract_x
_atom_site_fract_y
_atom_site_fract_z
Rb1 Rb 0.0000 0.0000 0.0000
Co1 Co 0.3297 0.6778 0.4992
Pt1 Pt 0.6721 0.3303 0.5003
Cl1 Cl 0.0329 0.6285 0.2977
Cl2 Cl 0.3702 0.9685 0.7031
Cl3 Cl 0.3842 0.3651 0.3165
Cl4 Cl 0.6349 0.6164 0.6828
Cl5 Cl 0.6458 0.0035 0.3253
Cl6 Cl 0.9985 0.3574 0.6774
# final energy = -32.2 eV/cell
# M_tot = 4.046 Bohr magnetons per cell

# CoPtSCl2, optimized geometry, DFT PBE
data_CoPtSCl2
_chemical_formula_sum 'Co1 Pt1 S1 Cl2'
_cell_length_a 4.8545
_cell_length_b 4.8545
_cell_length_c 4.7376
_cell_angle_alpha 90.00
_cell_angle_beta 90.00
_cell_angle_gamma 90.00
_symmetry_space_group_name_H-M 'P 4/m m m'
_symmetry_Int_Tables_number 123
_symmetry_space_group_name_Hall '-P 4 2'
loop_
_atom_site_label
_atom_site_type_symbol
_atom_site_fract_x
_atom_site_fract_y
_atom_site_fract_z
Co1 Co 0.0000 0.0000 0.0000
Pt1 Pt 0.5000 0.5000 0.5000
S1 S 0.5000 0.5000 0.0000
Cl1 Cl 0.0000 0.5000 0.5000
# excess energy over the best structure of this formula in the dataset = 0.0318 eV per atom
# final energy = -17.9 eV/cell
# M_tot = 2.132 Bohr magnetons per cell

# CoPtS2Cl, optimized geometry, DFT PBE
data_CoPtS2Cl
_chemical_formula_sum 'Co1 Pt1 S2 Cl1'
_cell_length_a 4.4576
_cell_length_b 4.4576
_cell_length_c 4.3314
_cell_angle_alpha 90.00
_cell_angle_beta 90.00
_cell_angle_gamma 90.00
_symmetry_space_group_name_H-M 'P 4/m m m'
_symmetry_Int_Tables_number 123
_symmetry_space_group_name_Hall '-P 4 2'
loop_
_atom_site_label
_atom_site_type_symbol
_atom_site_fract_x
_atom_site_fract_y
_atom_site_fract_z
Co1 Co 0.0000 0.0000 0.0000
Pt1 Pt 0.5000 0.5000 0.5000
S1 S 0.0000 0.5000 0.0000
Cl1 Cl 0.0000 0.0000 0.5000
# excess energy over the best structure of this formula in the dataset = 0.0000 eV per atom
# final energy = -19.9 eV/cell
# M_tot = 0.000 Bohr magnetons per cell

# CoPtSCl2, optimized geometry, DFT PBE
data_CoPtSCl2
_chemical_formula_sum 'Co1 Pt1 S1 Cl2'
_cell_length_a 4.3438
_cell_length_b 4.3438
_cell_length_c 4.9049
_cell_angle_alpha 90.00
_cell_angle_beta 90.00
_cell_angle_gamma 90.00
_symmetry_space_group_name_H-M 'P 4/m m m'
_symmetry_Int_Tables_number 123
_symmetry_space_group_name_Hall '-P 4 2'
loop_
_atom_site_label
_atom_site_type_symbol
_atom_site_fract_x
_atom_site_fract_y
_atom_site_fract_z
Co1 Co 0.0000 0.0000 0.0000
Pt1 Pt 0.5000 0.5000 0.5000
S1 S 0.0000 0.0000 0.5000
Cl1 Cl 0.0000 0.5000 0.0000
# excess energy over the best structure of this formula in the dataset = 0.0000 eV per atom
# final energy = -18.0 eV/cell
# M_tot = 2.117 Bohr magnetons per cell